[1]
The following is a DFT calculation (PBE) of a geometry-optimized Na2LiH6Ir structure.

```
Na2LiH6Ir
1.0
0.0000 3.5784 3.5784
3.5784 0.0000 3.5784
3.5784 3.5784 0.0000
H Na Li Ir
6 2 1 1
direct
0.7655 0.7655 0.2345
0.2345 0.7655 0.7655
0.7655 0.2345 0.2345
0.7655 0.2345 0.7655
0.2345 0.2345 0.7655
0.2345 0.7655 0.2345
0.2500 0.2500 0.2500
0.7500 0.7500 0.7500
0.5000 0.5000 0.5000
0.0000 0.0000 0.0000
```

The total magnetization comes out at 0.000 μB/atom. For the total DFT energy (no corrections), the calculation gives -3.75 eV/atom. As for the space group: Fm-3m (225).

---

[2]
The following is a DFT calculation (PBE) of a geometry-optimized Li2H6IrPd structure.

```
Li2H6IrPd
1.0
-3.2859 0.2999 -3.5629
-1.0181 -4.7079 0.5426
-1.5870 1.2863 8.1825
Pd Li H Ir
2 4 12 2
direct
0.5000 0.0000 0.0000
0.5000 0.5000 0.5000
0.7488 0.9885 0.7495
0.2512 0.0115 0.2505
0.2512 0.4885 0.7505
0.7488 0.5115 0.2495
0.1865 0.2771 0.4742
0.1865 0.2229 0.9742
0.7474 0.2881 0.0248
0.7067 0.5060 0.7557
0.2526 0.7119 0.9752
0.2934 0.4940 0.2443
0.7474 0.2119 0.5248
0.2934 0.0060 0.7443
0.8135 0.7229 0.5258
0.7066 0.9940 0.2557
0.8135 0.7771 0.0258
0.2526 0.7881 0.4752
0.0000 0.0000 0.5000
0.0000 0.5000 0.0000
```

The total magnetization comes out at 0.000 μB/atom. For the total DFT energy (no corrections), the calculation gives -4.10 eV/atom. As for the space group: P2_1/c (14).

---

[3]
The following is a DFT calculation (PBE) of a geometry-optimized LiY2H6Ir structure.

```
LiY2H6Ir
1.0
0.0000 3.6632 3.6632
3.6632 0.0000 3.6632
3.6632 3.6632 0.0000
Y Li H Ir
2 1 6 1
direct
0.7500 0.7500 0.7500
0.2500 0.2500 0.2500
0.5000 0.5000 0.5000
0.2410 0.2410 0.7590
0.7590 0.2410 0.7590
0.2410 0.7590 0.7590
0.2410 0.7590 0.2410
0.7590 0.2410 0.2410
0.7590 0.7590 0.2410
0.0000 0.0000 0.0000
```

The total magnetization comes out at 0.003 μB/atom. For the total DFT energy (no corrections), the calculation gives -4.76 eV/atom. As for the space group: Fm-3m (225).

---

[4]
The following is a DFT calculation (PBE) of a geometry-optimized Li2ZnH6Ir structure.

```
Li2ZnH6Ir
1.0
0.0000 3.4833 3.4833
3.4833 0.0000 3.4833
3.4833 3.4833 0.0000
Zn H Li Ir
1 6 2 1
direct
0.5000 0.5000 0.5000
0.2423 0.7577 0.2423
0.7577 0.2423 0.2423
0.2423 0.2423 0.7577
0.7577 0.7577 0.2423
0.7577 0.2423 0.7577
0.2423 0.7577 0.7577
0.2500 0.2500 0.2500
0.7500 0.7500 0.7500
0.0000 0.0000 0.0000
```

The total magnetization comes out at 0.000 μB/atom. For the total DFT energy (no corrections), the calculation gives -3.63 eV/atom. As for the space group: Fm-3m (225).

---

[5]
The following is a DFT calculation (PBE) of a geometry-optimized Mg2H5Ir structure.

```
Mg2H5Ir
1.0
4.5355 0.0000 0.0000
0.0000 4.5355 0.0000
0.0000 0.0000 6.9053
H Mg Ir
10 4 2
direct
0.5000 0.0000 0.4965
0.7405 0.2405 0.2363
0.7595 0.2595 0.7637
0.0000 0.5000 0.5035
0.2405 0.7405 0.7637
0.7595 0.7405 0.7637
0.2595 0.7595 0.2363
0.2595 0.2405 0.2363
0.2405 0.2595 0.7637
0.7405 0.7595 0.2363
0.5000 0.5000 0.5000
0.5000 0.5000 0.0000
0.0000 0.0000 0.5000
0.0000 0.0000 0.0000
0.5000 0.0000 0.7427
0.0000 0.5000 0.2573
```

The total magnetization comes out at 0.000 μB/atom. For the total DFT energy (no corrections), the calculation gives -3.96 eV/atom. As for the space group: P4/nmm (129).

---

[6]
The following is a DFT calculation (PBE) of a geometry-optimized MgH3Ir structure.

```
MgH3Ir
1.0
4.8544 -0.9597 -0.2482
-0.2138 4.1514 2.6960
-1.6812 -4.4715 1.3142
Mg H Ir
2 6 2
direct
0.8003 0.2219 0.0784
0.1435 0.7219 0.9216
0.5635 0.5635 0.0000
0.1105 0.2388 0.8477
0.5635 0.0635 0.5000
0.1105 0.7628 0.3716
0.3912 0.2628 0.1523
0.3912 0.7388 0.6284
0.5284 0.4501 0.5784
0.8717 0.9501 0.4216
```

The total magnetization comes out at 0.000 μB/atom. For the total DFT energy (no corrections), the calculation gives -4.34 eV/atom. As for the space group: Ima2 (46).

---

[7]
The following is a DFT calculation (PBE) of a geometry-optimized Mg3H6Ir structure.

```
Mg3H6Ir
1.0
4.8508 2.6610 -3.4844
-5.4763 0.5960 -3.5224
-0.7844 3.8884 1.8775
H Mg Ir
12 6 2
direct
0.6630 0.6635 0.7477
0.9567 0.0432 0.0073
0.3370 0.3365 0.2477
0.5958 0.9750 0.9982
0.0250 0.4042 0.9982
0.6408 0.3592 0.9943
0.3365 0.3370 0.7477
0.6635 0.6630 0.2477
0.4042 0.0250 0.4982
0.9750 0.5958 0.4982
0.3592 0.6408 0.4943
0.0432 0.9567 0.5073
0.3195 0.0791 0.9980
0.0791 0.3195 0.4980
0.6805 0.9209 0.4980
0.6125 0.3875 0.4969
0.3875 0.6125 0.9969
0.9209 0.6805 0.9980
0.2004 0.7996 0.4988
0.7996 0.2004 0.9988
```

The total magnetization comes out at 0.000 μB/atom. For the total DFT energy (no corrections), the calculation gives -3.63 eV/atom. As for the space group: Cmc2_1 (36).

---

[8]
The following is a DFT calculation (PBE) of a geometry-optimized Mg2H6IrPd structure.

```
Mg2H6IrPd
1.0
-1.6069 -4.2532 2.1272
-0.0119 -0.4575 4.9987
-4.3501 -0.0663 2.5039
Mg H Ir Pd
2 6 1 1
direct
0.7500 0.7500 0.7500
0.2500 0.2500 0.2500
0.7565 0.2435 0.7565
0.7565 0.2435 0.2435
0.2435 0.7565 0.2435
0.7565 0.7565 0.2435
0.2435 0.7565 0.7565
0.2435 0.2435 0.7565
0.0000 0.0000 0.0000
0.5000 0.5000 0.5000
```

The total magnetization comes out at 0.000 μB/atom. For the total DFT energy (no corrections), the calculation gives -3.93 eV/atom. As for the space group: Fm-3m (225).